{"formula": "PuMnFeCo", "functional": "PBE", "state": "optimized geometry", "lattice_angstrom": [[4.353, 0.000, 0.000], [2.176, 3.770, 0.000], [2.176, 1.257, 3.554]], "species": ["Mn", "Co", "Fe", "Pu"], "frac_coords": [[0.000, 0.000, 0.000], [0.750, 0.750, 0.750], [0.250, 0.250, 0.250], [0.500, 0.500, 0.500]], "final_energy_ev_per_cell": -38.81, "vol_a3_per_cell": 58.32, "ef_ev_per_atom": 0.065, "magnetic_moment_mub_per_fu": 0.98}